(1)
Nd2Sm5In4 after structural relaxation, computed with PBE.

Lattice parameters (Å, degrees): 8.7596 3.4980 10.7329 90.00 95.88 90.00
With the nearest neighbours (Å) after each atom.
Positions (direct):
Nd 0.0831 0.0000 0.1381  3 Nd 3.17-3.50, 6 In 3.24-3.42, 2 Sm 3.28-3.34
Nd 0.9169 0.0000 0.8619  3 Nd 3.17-3.50, 6 In 3.24-3.42, 2 Sm 3.28-3.34
Sm 0.1610 0.0000 0.6427  6 In 3.33-3.60, 1 Nd 3.34, 4 Sm 3.48-3.72
Sm 0.4590 0.0000 0.1669  1 Nd 3.28, 4 In 3.29-3.51, 3 Sm 3.50-3.56
Sm 0.5000 0.0000 0.5000  4 In 3.29, 6 Sm 3.48-3.56
Sm 0.5410 0.0000 0.8331  1 Nd 3.28, 4 In 3.29-3.51, 3 Sm 3.50-3.56
Sm 0.8390 0.0000 0.3573  6 In 3.33-3.60, 1 Nd 3.34, 4 Sm 3.48-3.72
In 0.2003 0.5000 0.3837  2 Nd 3.24, 6 Sm 3.29-3.60, 2 In 3.50
In 0.2518 0.5000 0.9210  6 Sm 3.29-3.51, 4 Nd 3.37-3.42, 2 In 3.50
In 0.7482 0.5000 0.0790  6 Sm 3.29-3.51, 4 Nd 3.37-3.42, 2 In 3.50
In 0.7997 0.5000 0.6163  2 Nd 3.24, 6 Sm 3.29-3.60, 2 In 3.50

Magnetization ... 0.000 μB/atom
ΔE_f ... -275.6 meV per atom
Volume ... 327.1 Å³/cell
Fermi-level density of states ... 12.1 states/eV/f.u.

=====

(2)
V2ReNiH after structural relaxation, computed with PBE.

Lattice parameters (Å, degrees): 3.8109 3.8109 3.7779 90.00 90.00 90.00
With the nearest neighbours (Å) after each atom.
Positions (direct):
V 0.0000 0.5000 0.0000  2 H 1.91
V 0.5000 0.0000 0.0000  2 H 1.91
Re 0.0000 0.0000 0.5000  2 H 1.89
Ni 0.5000 0.5000 0.5000  8 V 2.68, 4 Re 2.69
H 0.0000 0.0000 0.0000  2 Re 1.89, 4 V 1.91

Magnetization ... 0.000 μB/atom
Distance to the lowest polymorph of the same formula ... 102 meV per atom
Volume ... 54.9 Å³/cell
Fermi-level density of states ... 5.4 states/eV/f.u.

=====

(3)
Tb3Sm6Y2Pu after structural relaxation, computed with PBE.

Lattice parameters (Å, degrees): 6.2202 6.2202 11.8243 95.05 95.05 120.02
With the nearest neighbours (Å) after each atom.
Positions (direct):
Tb 0.0000 0.0000 0.0000  6 Sm 3.58-3.60, 6 Tb 3.59
Tb 0.3332 0.6668 0.0000  6 Sm 3.58-3.60, 6 Tb 3.59
Tb 0.6668 0.3332 0.0000  6 Sm 3.58-3.60, 6 Tb 3.59
Sm 0.0885 0.4178 0.2515  1 Pu 3.54, 6 Sm 3.55-3.61, 2 Y 3.57, 3 Tb 3.58-3.60
Sm 0.2529 0.2529 0.7484  1 Pu 3.55, 6 Sm 3.55-3.61, 2 Y 3.56, 3 Tb 3.58-3.60
Sm 0.4178 0.0885 0.2515  1 Pu 3.54, 6 Sm 3.55-3.61, 2 Y 3.57, 3 Tb 3.58-3.60
Sm 0.5822 0.9115 0.7485  1 Pu 3.54, 6 Sm 3.55-3.61, 2 Y 3.57, 3 Tb 3.58-3.60
Sm 0.7471 0.7471 0.2516  1 Pu 3.55, 6 Sm 3.55-3.61, 2 Y 3.56, 3 Tb 3.58-3.60
Sm 0.9115 0.5822 0.7485  1 Pu 3.54, 6 Sm 3.55-3.61, 2 Y 3.57, 3 Tb 3.58-3.60
Y 0.1665 0.8335 0.5000  6 Sm 3.56-3.57, 3 Y 3.59, 3 Pu 3.59
Y 0.8335 0.1665 0.5000  6 Sm 3.56-3.57, 3 Y 3.59, 3 Pu 3.59
Pu 0.5000 0.5000 0.5000  6 Sm 3.54-3.55, 6 Y 3.59

Magnetization ... 0.556 μB/atom
ΔE_f ... 46.8 meV per atom
Volume ... 389.9 Å³/cell
Fermi-level density of states ... 23.2 states/eV/f.u.

=====

(4)
SbSe after structural relaxation, computed with PBE.

Lattice parameters (Å, degrees): 8.9998 8.9998 8.9998 155.58 155.55 34.83
With the nearest neighbours (Å) after each atom.
Positions (direct):
Sb 0.4203 0.1703 0.2500  4 Se 2.87
Sb 0.5797 0.8297 0.7500  4 Se 2.87
Se 0.1374 0.3874 0.7500  4 Sb 2.87
Se 0.8626 0.6126 0.2500  4 Sb 2.87

Magnetization ... 0.000 μB/atom
Volume ... 124.6 Å³/cell
Formation energy (no corrections) ... -2 kJ/mol of atoms
Fermi-level density of states ... 0.7 states/eV/f.u.

=====

(5)
MnCo2AuN after structural relaxation, computed with PBE.

Lattice parameters (Å, degrees): 3.8497 3.8497 3.9648 90.00 90.00 90.00
With the nearest neighbours (Å) after each atom.
Positions (direct):
Mn 0.0000 0.0000 0.0000  2 N 1.98
Co 0.0000 0.5000 0.5000  2 N 1.92
Co 0.5000 0.0000 0.5000  2 N 1.92
Au 0.5000 0.5000 0.0000  4 Mn 2.72, 8 Co 2.76
N 0.0000 0.0000 0.5000  4 Co 1.92, 2 Mn 1.98

Magnetization ... 1.217 μB/atom
Volume ... 58.8 Å³/cell
Formation energy (no corrections) ... -8 kJ/mol of atoms
Fermi-level density of states ... 3.8 states/eV/f.u.

=====

(6)
Na2PmGaO4 after structural relaxation, computed with PBE.

Lattice parameters (Å, degrees): 5.6533 3.3509 5.8913 90.00 109.17 90.00
With the nearest neighbours (Å) after each atom.
Positions (direct):
Na 0.0000 0.0000 0.0000  6 O 2.55-2.66
Na 0.5000 0.5000 0.0000  6 O 2.39-2.44
Pm 0.0000 0.5000 0.5000  6 O 2.33-2.34
Ga 0.5000 0.0000 0.5000  6 O 2.05-2.20
O 0.2719 0.0000 0.7079  1 Ga 2.05
O 0.2855 0.5000 0.2893  2 Ga 2.20, 1 Pm 2.34, 1 Na 2.39
O 0.7145 0.5000 0.7107  2 Ga 2.20, 1 Pm 2.34, 1 Na 2.39
O 0.7281 0.0000 0.2921  1 Ga 2.05

Magnetization ... 0.000 μB/atom
Volume ... 105.4 Å³/cell
Formation energy (no corrections) ... -203 kJ/mol of atoms
Fermi-level density of states ... 0.0 states/eV/f.u.

=====

(7)
LiPr2Ge after structural relaxation, computed with PBE.

Lattice parameters (Å, degrees): 4.9719 4.9719 4.1572 90.00 90.00 90.00
With the nearest neighbours (Å) after each atom.
Positions (direct):
Li 0.0000 0.0000 0.0000  8 Pr 3.24, 4 Ge 3.52
Pr 0.0000 0.5000 0.5000  4 Ge 3.24, 4 Li 3.24, 4 Pr 3.52
Pr 0.5000 0.0000 0.5000  4 Ge 3.24, 4 Li 3.24, 4 Pr 3.52
Ge 0.5000 0.5000 0.0000  8 Pr 3.24, 4 Li 3.52

Magnetization ... 0.000 μB/atom
ΔE_f ... -394.2 meV per atom
Volume ... 102.8 Å³/cell
Fermi-level density of states ... 4.0 states/eV/f.u.

=====

(8)
Sm3Te3C after structural relaxation, computed with PBE.

Lattice parameters (Å, degrees): 7.7714 7.7714 7.7483 96.38 96.38 113.23
With the nearest neighbours (Å) after each atom.
Positions (direct):
Sm 0.0982 0.0982 0.3263  2 C 2.28-2.40
Sm 0.1364 0.4310 0.7691  1 C 2.30
Sm 0.4310 0.1364 0.7691  1 C 2.30
Sm 0.5690 0.8636 0.2309  1 C 2.30
Sm 0.8636 0.5690 0.2309  1 C 2.30
Sm 0.9018 0.9018 0.6737  2 C 2.28-2.40
Te 0.1679 0.8321 0.0000  6 Sm 3.30-3.32
Te 0.2718 0.7282 0.5000  4 Sm 3.23-3.29
Te 0.4096 0.4096 0.1361  1 Te 2.86
Te 0.5904 0.5904 0.8639  1 Te 2.86
Te 0.7282 0.2718 0.5000  4 Sm 3.23-3.29
Te 0.8321 0.1679 0.0000  6 Sm 3.30-3.32
C 0.1607 0.1607 0.6426  4 Sm 2.28-2.40
C 0.8393 0.8393 0.3574  4 Sm 2.28-2.40

Magnetization ... 0.000 μB/atom
Volume ... 421.2 Å³/cell
Formation energy (no corrections) ... -92 kJ/mol of atoms
Fermi-level density of states ... 0.3 states/eV/f.u.

=====

(9)
LaAs2Ru after structural relaxation, computed with PBE.

Lattice parameters (Å, degrees): 4.4690 4.5173 4.5663 90.00 94.02 90.00
With the nearest neighbours (Å) after each atom.
Positions (direct):
La 0.0000 0.0000 0.0000  8 As 3.05-3.33, 2 Ru 3.23
As 0.4631 0.5000 0.8547  2 Ru 2.35-2.52
As 0.4962 0.0000 0.4942  2 Ru 2.47
Ru 0.6515 0.5000 0.3483  4 As 2.35-2.52

Magnetization ... 0.000 μB/atom
ΔE_f ... -520.3 meV per atom
Distance to the lowest polymorph of the same formula ... 389 meV per atom
Volume ... 92.0 Å³/cell
Fermi-level density of states ... 3.9 states/eV/f.u.

=====

(10)
Mg2GaGeBr after structural relaxation, computed with PBE.

Lattice parameters (Å, degrees): 5.1445 5.1445 5.6183 90.00 90.00 90.00
With the nearest neighbours (Å) after each atom.
Positions (direct):
Mg 0.0000 0.5000 0.0000  2 Ge 2.57
Mg 0.5000 0.0000 0.0000  2 Ge 2.57
Ga 0.0000 0.0000 0.5000  4 Br 3.64, 8 Mg 3.81
Ge 0.5000 0.5000 0.0000  4 Mg 2.57, 2 Br 2.81
Br 0.5000 0.5000 0.5000  2 Ge 2.81

Magnetization ... 0.000 μB/atom
Volume ... 148.7 Å³/cell
Formation energy (no corrections) ... 21 kJ/mol of atoms
Fermi-level density of states ... 2.9 states/eV/f.u.

=====

(11)
LaCe2Pr3S6 after structural relaxation, computed with PBE.

Lattice parameters (Å, degrees): 7.0848 7.0848 7.0844 99.62 99.62 120.04
With the nearest neighbours (Å) after each atom.
Positions (direct):
La 0.0000 0.0000 0.0000  6 S 2.90-2.91
Ce 0.3333 0.6667 0.0000  6 S 2.86-2.87
Ce 0.6667 0.3333 0.0000  6 S 2.86-2.87
Pr 0.1641 0.8359 0.5000  6 S 2.89-2.92
Pr 0.5000 0.5000 0.5000  6 S 2.88-2.92
Pr 0.8359 0.1641 0.5000  6 S 2.89-2.92
S 0.0825 0.4208 0.2474  2 Ce 2.87, 3 Pr 2.89-2.92, 1 La 2.91
S 0.2569 0.2569 0.7554  2 Ce 2.86, 3 Pr 2.88-2.90, 1 La 2.90
S 0.4208 0.0825 0.2474  2 Ce 2.87, 3 Pr 2.89-2.92, 1 La 2.91
S 0.5792 0.9175 0.7526  2 Ce 2.87, 3 Pr 2.89-2.92, 1 La 2.91
S 0.7431 0.7431 0.2446  2 Ce 2.86, 3 Pr 2.88-2.90, 1 La 2.90
S 0.9175 0.5792 0.7526  2 Ce 2.87, 3 Pr 2.89-2.92, 1 La 2.91

Magnetization ... 0.138 μB/atom
Volume ... 290.1 Å³/cell
Formation energy (no corrections) ... -198 kJ/mol of atoms
Fermi-level density of states ... 13.3 states/eV/f.u.

=====

(12)
Pr7Dy2Sc2 after structural relaxation, computed with PBE.

Lattice parameters (Å, degrees): 8.0250 8.0250 6.1493 104.39 104.39 92.89
With the nearest neighbours (Å) after each atom.
Positions (direct):
Pr 0.0000 0.0000 0.0000  4 Pr 3.37, 2 Dy 3.51
Pr 0.0556 0.5803 0.8080  2 Sc 3.23-3.37, 3 Pr 3.24-3.55, 2 Dy 3.38-3.61
Pr 0.4197 0.9444 0.1920  2 Sc 3.23-3.37, 3 Pr 3.24-3.55, 2 Dy 3.38-3.61
Pr 0.4238 0.4238 0.2050  2 Pr 3.40-3.50, 2 Sc 3.65, 2 Dy 3.69-3.76
Pr 0.5762 0.5762 0.7950  2 Pr 3.40-3.50, 2 Sc 3.65, 2 Dy 3.69-3.76
Pr 0.5803 0.0556 0.8080  2 Sc 3.23-3.37, 3 Pr 3.24-3.55, 2 Dy 3.38-3.61
Pr 0.9444 0.4197 0.1920  2 Sc 3.23-3.37, 3 Pr 3.24-3.55, 2 Dy 3.38-3.61
Dy 0.2116 0.2116 0.5843  7 Pr 3.38-3.76, 2 Sc 3.40
Dy 0.7884 0.7884 0.4157  7 Pr 3.38-3.76, 2 Sc 3.40
Sc 0.2224 0.7776 0.5000  4 Pr 3.23-3.37, 2 Dy 3.40
Sc 0.7776 0.2224 0.5000  4 Pr 3.23-3.37, 2 Dy 3.40

Magnetization ... 0.000 μB/atom
ΔE_f ... 143.7 meV per atom
Distance to the lowest polymorph of the same formula ... 0 meV per atom
Volume ... 368.9 Å³/cell
Fermi-level density of states ... 14.9 states/eV/f.u.

=====

(13)
BaHfMg3 after structural relaxation, computed with PBE.

Lattice parameters (Å, degrees): 5.6631 5.6631 5.6631 90.00 90.00 90.00
With the nearest neighbours (Å) after each atom.
Positions (direct):
Ba 0.0000 0.0000 0.0000  12 Mg 4.00
Hf 0.5000 0.5000 0.5000  6 Mg 2.83
Mg 0.0000 0.5000 0.5000  2 Hf 2.83
Mg 0.5000 0.0000 0.5000  2 Hf 2.83
Mg 0.5000 0.5000 0.0000  2 Hf 2.83

Magnetization ... 0.020 μB/atom
ΔE_f ... 640.4 meV per atom
Distance to the lowest polymorph of the same formula ... 0 meV per atom
Volume ... 181.6 Å³/cell
Fermi-level density of states ... 8.0 states/eV/f.u.

=====

(14)
Ac5Cd2IrN after structural relaxation, computed with PBE.

Lattice parameters (Å, degrees): 10.0775 10.0775 14.8789 90.00 90.00 155.53
With the nearest neighbours (Å) after each atom.
Positions (direct):
Ac 0.0058 0.9942 0.5000  1 N 2.36
Ac 0.1509 0.8491 0.7144  1 Ir 2.89
Ac 0.1796 0.8204 0.0961  1 N 2.56
Ac 0.2144 0.7856 0.3709  2 Ir 2.95
Ac 0.4554 0.5446 0.7250  2 N 2.50
Ac 0.5446 0.4554 0.2250  2 N 2.50
Ac 0.7856 0.2144 0.8709  2 Ir 2.95
Ac 0.8204 0.1796 0.5961  1 N 2.56
Ac 0.8491 0.1509 0.2144  1 Ir 2.89
Ac 0.9942 0.0058 0.0000  1 N 2.36
Cd 0.3612 0.6388 0.0330  7 Ac 3.41-3.70
Cd 0.3915 0.6085 0.3927  5 Ac 3.49-3.51
Cd 0.6085 0.3915 0.8927  5 Ac 3.49-3.51
Cd 0.6388 0.3612 0.5330  7 Ac 3.41-3.70
Ir 0.2969 0.7031 0.7347  6 Ac 2.89-3.12
Ir 0.7031 0.2969 0.2347  6 Ac 2.89-3.12
N 0.0535 0.9465 0.1379  4 Ac 2.36-2.56
N 0.9465 0.0535 0.6379  4 Ac 2.36-2.56

Magnetization ... 0.000 μB/atom
Volume ... 625.9 Å³/cell
Formation energy (no corrections) ... -53 kJ/mol of atoms
Fermi-level density of states ... 6.8 states/eV/f.u.

=====

(15)
KCuNi2 after structural relaxation, computed with PBE.

Lattice parameters (Å, degrees): 4.4011 4.4011 6.5716 95.64 95.64 35.23
With the nearest neighbours (Å) after each atom.
Positions (direct):
K 0.0000 0.0000 0.0000  2 K 2.66
Cu 0.5000 0.5000 0.5000  6 Ni 2.45-2.53, 2 Cu 2.66
Ni 0.2305 0.2305 0.6418  2 Ni 2.34, 3 Cu 2.45-2.53
Ni 0.7695 0.7695 0.3582  2 Ni 2.34, 3 Cu 2.45-2.53

Magnetization ... 0.159 μB/atom
ΔE_f ... 510.9 meV per atom
Distance to the lowest polymorph of the same formula ... 214 meV per atom
Volume ... 73.0 Å³/cell
Fermi-level density of states ... 4.6 states/eV/f.u.

=====

(16)
CaTm2CdPd4 after structural relaxation, computed with PBE.

Lattice parameters (Å, degrees): 8.4317 8.4317 8.4317 33.30 33.30 33.30
With the nearest neighbours (Å) after each atom.
Positions (direct):
Ca 0.0000 0.0000 0.0000  8 Pd 2.98
Tm 0.2449 0.2449 0.2449  8 Pd 2.86-3.16
Tm 0.7551 0.7551 0.7551  8 Pd 2.86-3.16
Cd 0.5000 0.5000 0.5000  8 Pd 2.93-2.96
Pd 0.1249 0.1249 0.1249  4 Tm 2.86-2.92, 3 Cd 2.96, 1 Ca 2.98
Pd 0.3774 0.3774 0.3774  1 Cd 2.93, 3 Ca 2.98, 4 Tm 2.98-3.16
Pd 0.6226 0.6226 0.6226  1 Cd 2.93, 3 Ca 2.98, 4 Tm 2.98-3.16
Pd 0.8751 0.8751 0.8751  4 Tm 2.86-2.92, 3 Cd 2.96, 1 Ca 2.98

Magnetization ... 0.000 μB/atom
ΔE_f ... -764.5 meV per atom
Volume ... 160.8 Å³/cell
Fermi-level density of states ... 3.5 states/eV/f.u.

=====

(17)
Pt3PbO8 after structural relaxation, computed with PBE.

Lattice parameters (Å, degrees): 5.6493 5.6493 6.2057 90.00 90.00 120.00
With the nearest neighbours (Å) after each atom.
Positions (direct):
Pt 0.0000 0.0000 0.0000  6 O 2.08
Pt 0.3333 0.6667 0.0507  4 O 1.92-2.02
Pt 0.6667 0.3333 0.9493  4 O 1.92-2.02
Pb 0.0000 0.0000 0.5000  6 O 2.92, 2 Pt 3.10
O 0.0634 0.3614 0.8585  3 Pt 2.02-2.24
O 0.2980 0.9366 0.8585  3 Pt 2.02-2.24
O 0.3333 0.6667 0.3606  1 Pt 1.92
O 0.3614 0.2980 0.1415  3 Pt 2.02-2.24
O 0.6386 0.7020 0.8585  3 Pt 2.02-2.24
O 0.6667 0.3333 0.6394  1 Pt 1.92
O 0.7020 0.0634 0.1415  3 Pt 2.02-2.24
O 0.9366 0.6386 0.1415  3 Pt 2.02-2.24

Magnetization ... 0.000 μB/atom
Volume ... 171.5 Å³/cell
Formation energy (no corrections) ... -7 kJ/mol of atoms
Fermi-level density of states ... 5.2 states/eV/f.u.

=====

(18)
KSbSe4 after structural relaxation, computed with PBE.

Lattice parameters (Å, degrees): 5.9478 5.9478 5.9478 60.00 60.00 60.00
With the nearest neighbours (Å) after each atom.
Positions (direct):
K 0.0000 0.0000 0.0000  12 Se 3.49, 4 Sb 3.64
Sb 0.7500 0.7500 0.7500  12 Se 3.49, 4 K 3.64
Se 0.3754 0.3754 0.3754  6 Se 2.97-2.98
Se 0.3754 0.3754 0.8739  6 Se 2.97-2.98
Se 0.3754 0.8739 0.3754  6 Se 2.97-2.98
Se 0.8739 0.3754 0.3754  6 Se 2.97-2.98

Magnetization ... 0.000 μB/atom
Distance to the lowest polymorph of the same formula ... 549 meV per atom
Volume ... 148.8 Å³/cell
Formation energy (no corrections) ... 18 kJ/mol of atoms
Fermi-level density of states ... 4.7 states/eV/f.u.

=====

(19)
SrHo2Ir9 after structural relaxation, computed with PBE.

Lattice parameters (Å, degrees): 9.2441 9.2441 9.2441 33.70 33.70 33.70
With the nearest neighbours (Å) after each atom.
Positions (direct):
Sr 0.0000 0.0000 0.0000  18 Ir 3.09-3.45
Ho 0.1389 0.1389 0.1389  12 Ir 3.05-3.30, 3 Ho 3.42
Ho 0.8611 0.8611 0.8611  12 Ir 3.05-3.30, 3 Ho 3.42
Ir 0.0829 0.5828 0.5828  7 Ir 2.65-2.68
Ir 0.3328 0.3328 0.3328  6 Ir 2.65-2.67
Ir 0.4172 0.4172 0.9171  7 Ir 2.65-2.68
Ir 0.4172 0.9171 0.4172  7 Ir 2.65-2.68
Ir 0.5000 0.5000 0.5000  6 Ir 2.68
Ir 0.5828 0.0829 0.5828  7 Ir 2.65-2.68
Ir 0.5828 0.5828 0.0829  7 Ir 2.65-2.68
Ir 0.6672 0.6672 0.6672  6 Ir 2.65-2.67
Ir 0.9171 0.4172 0.4172  7 Ir 2.65-2.68

Magnetization ... 0.000 μB/atom
ΔE_f ... -456.1 meV per atom
Volume ... 216.7 Å³/cell
Fermi-level density of states ... 14.2 states/eV/f.u.

=====

(20)
Tl3Ag2Br3Cl2 after structural relaxation, computed with PBE.

Lattice parameters (Å, degrees): 14.1169 14.1169 14.1169 159.71 159.71 28.85
With the nearest neighbours (Å) after each atom.
Positions (direct):
Tl 0.0000 0.0000 0.0000  6 Br 3.18-3.52
Tl 0.3720 0.3720 0.0000  5 Br 3.50-3.53
Tl 0.6280 0.6280 0.0000  5 Br 3.50-3.53
Ag 0.2144 0.2144 0.0000  4 Cl 2.67, 1 Br 2.68
Ag 0.7856 0.7856 0.0000  4 Cl 2.67, 1 Br 2.68
Br 0.1163 0.1163 0.0000  1 Ag 2.68
Br 0.5000 0.5000 0.0000  6 Tl 3.50-3.52
Br 0.8837 0.8837 0.0000  1 Ag 2.68
Cl 0.2500 0.7500 0.5000  4 Ag 2.67
Cl 0.7500 0.2500 0.5000  4 Ag 2.67

Magnetization ... 0.000 μB/atom
Volume ... 338.1 Å³/cell
Formation energy (no corrections) ... -64 kJ/mol of atoms
Fermi-level density of states ... 0.0 states/eV/f.u.